Entry from the Alexandria database: SICl2O after structural relaxation (GGA-PBE).

Summary:
M_tot, Bohr magnetons per cell: 2.13
N(E_F), states/eV per atom: 1.494
Excess energy over the best structure of this formula in the dataset, eV per formula unit: 0.45

Unit cell a=5.3828 b=5.3828 c=5.1088 alpha=90.00 beta=90.00 gamma=90.00
Each line ends with the local moment (μB).
Element x y z (fractional)
I 0.0000 0.0000 0.0000  0.02
S 0.0000 0.0000 0.5000  -0.15
O 0.5000 0.5000 0.5000  -1.49
Cl 0.0000 0.5000 0.0000  -0.01
Cl 0.5000 0.0000 0.0000  -0.01